# Ho2MgAl3

Ho2MgAl3 after structural relaxation (PBE, Alexandria).

Electronic total energy: -3.73 eV/atom
Mass density: 4.9 g/cm³
E_form: -64 meV/atom

Cell lengths 12.8913, 9.0416, 5.0242 Å; angles 90.00, 90.00, 90.00 degrees
Closest atoms and distances in Å follow each position.
Space group Cmcm (No. 63)
Symmetry-distinct sites (fractional):
Ho  0.1377  0.2015  0.2500  7 Al 3.07-3.27
Mg  0.0000  0.4030  0.7500  5 Al 2.93-2.95, 2 Mg 3.06
Al  0.0000  0.0787  0.7500  2 Al 2.89, 1 Mg 2.93, 2 Ho 3.09
Al  0.1951  0.5000  0.0000  2 Al 2.51